1.
Material: Ba2ReTe
Method: DFT, PBE
State: relaxed

Cell lengths 3.814, 5.436, 12.835 Å; angles 90.00, 90.00, 90.00 degrees
Space group Imm2 (No. 44)
Asymmetric unit:
Ba: 0.000 0.000 0.000
Ba: 0.000 0.500 0.211
Re: 0.000 0.500 0.744
Te: 0.000 0.000 0.392

Computed properties:
VASP energy (Ry/atom): -0.3426
Formation energy from raw total energies (meV per atom): 198
N(E_F) (states/eV per cell): 7.5

2.
Material: BaReTe3
Method: DFT, PBE
State: relaxed

Cell lengths 6.486, 6.486, 6.486 Å; angles 90.00, 90.00, 90.00 degrees
Space group Pm-3m (No. 221)
Asymmetric unit:
Ba: 0.000 0.000 0.000
Re: 0.500 0.500 0.500
Te: 0.000 0.000 0.500

Computed properties:
VASP energy (Ry/atom): -0.2398
Formation energy from raw total energies (meV per atom): 1497
N(E_F) (states/eV per cell): 4.5

3.
Material: BaReTe
Method: DFT, PBE
State: relaxed

Cell lengths 7.087, 7.087, 7.087 Å; angles 90.00, 90.00, 90.00 degrees
Space group F-43m (No. 216)
Asymmetric unit:
Ba: 0.000 0.000 0.000
Re: 0.250 0.250 0.750
Te: 0.000 0.000 0.500

Computed properties:
VASP energy (Ry/atom): -0.3700
Formation energy from raw total energies (meV per atom): 804
N(E_F) (states/eV per cell): 9.7

4.
Material: BaRe2Te
Method: DFT, PBE
State: relaxed

Cell lengths 3.683, 5.969, 10.050 Å; angles 90.00, 90.00, 90.00 degrees
Space group Imm2 (No. 44)
Asymmetric unit:
Ba: 0.000 0.000 0.000
Re: 0.000 0.000 0.507
Re: 0.000 0.500 0.157
Te: 0.000 0.500 0.792

Computed properties:
VASP energy (Ry/atom): -0.4987
Formation energy from raw total energies (meV per atom): 705
N(E_F) (states/eV per cell): 8.9

5.
Material: BaRe2Te
Method: DFT, PBE
State: relaxed

Cell lengths 6.015, 10.416, 2.914 Å; angles 90.00, 90.00, 90.00 degrees
Space group Cmmm (No. 65)
Asymmetric unit:
Ba: 0.000 0.000 0.000
Re: 0.250 0.250 0.500
Te: 0.000 0.500 0.000

Computed properties:
VASP energy (Ry/atom): -0.4311
Formation energy from raw total energies (meV per atom): 1624
N(E_F) (states/eV per cell): 11.1

6.
Material: BaRe2Te
Method: DFT, PBE
State: relaxed

Cell lengths 3.091, 5.274, 6.039 Å; angles 90.00, 90.91, 90.00 degrees
Space group P2/m (No. 10)
Asymmetric unit:
Ba: 0.000 0.000 0.000
Re: 0.486 0.500 0.313
Te: 0.500 0.000 0.500

Computed properties:
VASP energy (Ry/atom): -0.4761
Formation energy from raw total energies (meV per atom): 1013
N(E_F) (states/eV per cell): 4.4

Repeat the fifth record exactly.
Material: BaRe2Te
Method: DFT, PBE
State: relaxed

Cell lengths 6.015, 10.416, 2.914 Å; angles 90.00, 90.00, 90.00 degrees
Space group Cmmm (No. 65)
Asymmetric unit:
Ba: 0.000 0.000 0.000
Re: 0.250 0.250 0.500
Te: 0.000 0.500 0.000

Computed properties:
VASP energy (Ry/atom): -0.4311
Formation energy from raw total energies (meV per atom): 1624
N(E_F) (states/eV per cell): 11.1